Here is an optimized crystal structure of ZrInOs from OQMD via LeMat-Bulk. Energies are from GGA-PBE.

## Properties
E, eV/atom: -6.925

Cell: 4.6067 4.6067 4.6067 Å, 60.00 60.00 60.00°
Positions (direct):
Zr 0.0000 0.0000 0.0000
Os 0.7500 0.7500 0.7500
In 0.2500 0.2500 0.2500